Here is a geometry-optimized SrTeSe2 structure from the Alexandria database. Energies are from PBE.

```
SrTeSe2
1.0
4.7405 0.0000 0.0000
0.0000 4.3820 0.0000
-0.6107 0.0000 11.6734
Sr Te Se
2 2 4
Direct
0.0000 0.0000 0.0000
0.4984 0.5000 0.7058
0.1059 0.5000 0.3735
0.7241 0.0000 0.4956
0.0092 0.0000 0.7199
0.3947 0.0000 0.2912
0.4870 0.5000 0.9648
0.7813 0.5000 0.1737
```

volume	242	Å³/cell
total magnetic moment	0.00	μB per formula unit
energy relative to the elements, uncorrected	-0.95	eV per atom
total DFT energy (no corrections)	-3.89	eV/atom

Here is a geometry-optimized MnHPd3 structure from the Alexandria database. Energies are from PBE.

```
MnHPd3
1.0
4.5643 0.0000 0.0000
0.0000 5.6351 0.0000
-0.0570 0.0000 4.9286
Mn H Pd
2 2 6
Direct
0.2430 0.2500 0.3369
0.7570 0.7500 0.6631
0.4438 0.7500 0.0040
0.5562 0.2500 0.9960
0.2482 0.0024 0.8283
0.2482 0.4976 0.8283
0.2487 0.7500 0.3403
0.7513 0.2500 0.6597
0.7518 0.5024 0.1717
0.7518 0.9976 0.1717
```

volume	127	Å³/cell
total magnetic moment	4.41	μB per formula unit
total DFT energy (no corrections)	-5.81	eV/atom
offset from the most stable computed form	0.21	eV/f.u.

Here is a geometry-optimized Pr8Ge3PCl4 structure from the Alexandria database. Energies are from PBE.

```
Pr8Ge3PCl4
1.0
4.2733 2.4672 6.9963
-4.2733 2.4672 6.9963
0.0000 -4.9343 6.9963
Pr Ge P Cl
8 3 1 4
Direct
0.2430 0.2430 0.2430
0.2478 0.7381 0.7381
0.2619 0.2619 0.7522
0.2619 0.7522 0.2619
0.7381 0.2478 0.7381
0.7381 0.7381 0.2478
0.7522 0.2619 0.2619
0.7570 0.7570 0.7570
0.0000 0.0000 0.5000
0.0000 0.5000 0.0000
0.5000 0.0000 0.0000
0.5000 0.5000 0.5000
0.0000 0.0000 0.0000
0.0000 0.5000 0.5000
0.5000 0.0000 0.5000
0.5000 0.5000 0.0000
```

volume	443	Å³/cell
total magnetic moment	0.00	μB per formula unit
energy relative to the elements, uncorrected	-1.35	eV per atom
total DFT energy (no corrections)	-5.40	eV/atom

Here is a geometry-optimized Tb2YPb structure from the Alexandria database. Energies are from PBE.

```
Tb2YPb
1.0
2.1263 -6.2426 0.0000
2.1263 6.2426 0.0000
0.0000 0.0000 9.5766
Tb Y Pb
4 2 2
Direct
0.1333 0.8667 0.5531
0.1333 0.8667 0.9469
0.8667 0.1333 0.0531
0.8667 0.1333 0.4469
0.4425 0.5575 0.7500
0.5575 0.4425 0.2500
0.2525 0.7475 0.2500
0.7475 0.2525 0.7500
```

volume	254	Å³/cell
ΔE_f	-1.0	eV/f.u.
total magnetic moment	0.00	μB per formula unit
total DFT energy (no corrections)	-5.10	eV/atom
offset from the most stable computed form	0.19	eV/f.u.

Look up the total magnetic moment of the fourth one.
0.00 μB per formula unit